# 1
! LaCo2Au2 (PBE, optimized geometry); values from VASP
&SYSTEM
  ibrav = 0, nat = 10, ntyp = 3
/
ATOMIC_SPECIES
La 138.91 La.upf
Co 58.93 Co.upf
Au 196.97 Au.upf
CELL_PARAMETERS angstrom
7.2270 0.0000 0.0000
0.0000 7.2270 0.0000
0.0000 0.0000 3.4287
ATOMIC_POSITIONS angstrom
La 0.0000 0.0000 0.0000
La 3.6135 3.6135 0.0000
Co 0.8641 2.7494 0.0000
Co 2.7494 6.3629 0.0000
Co 4.4776 0.8641 0.0000
Co 6.3629 4.4776 0.0000
Au 1.2185 4.8320 1.7144
Au 2.3950 1.2185 1.7144
Au 4.8320 6.0085 1.7144
Au 6.0085 2.3950 1.7144
! ΔE_f ... -0.042 eV per atom
! Space-group type ... P4/mbm, No. 127
! Total DFT energy (no corrections) ... -5.18 eV per atom
! Total magnetic moment ... 2.27 μB per formula unit
! ΔE to the lowest computed polymorph ... 0.136 eV per atom
! Density of states at the Fermi level ... 1.5588 states/eV/atom

***

# 2
! RePd (PBE, optimized geometry); values from VASP
&SYSTEM
  ibrav = 0, nat = 4, ntyp = 2
/
ATOMIC_SPECIES
Re 186.21 Re.upf
Pd 106.42 Pd.upf
CELL_PARAMETERS angstrom
4.3393 0.0000 0.0000
-2.1697 3.7580 0.0000
0.0000 0.0000 5.0862
ATOMIC_POSITIONS angstrom
Re 0.0000 2.5053 1.2715
Re 2.1697 1.2527 3.8146
Pd 0.0000 2.5053 3.8146
Pd 2.1697 1.2527 1.2715
! ΔE_f ... 1.738 eV per atom
! Space-group type ... P6_3/mmc, No. 194
! Total DFT energy (no corrections) ... -7.08 eV per atom
! Total magnetic moment ... 0.00 μB per formula unit
! ΔE to the lowest computed polymorph ... 1.674 eV per atom
! Density of states at the Fermi level ... 1.2468 states/eV/atom

***

# 3
! Zn2FeIr (PBE, optimized geometry); values from VASP
&SYSTEM
  ibrav = 0, nat = 4, ntyp = 3
/
ATOMIC_SPECIES
Zn 65.41 Zn.upf
Fe 55.84 Fe.upf
Ir 192.22 Ir.upf
CELL_PARAMETERS angstrom
1.3692 0.7905 8.4627
-1.3692 0.7905 8.4627
0.0000 -1.5810 8.4627
ATOMIC_POSITIONS angstrom
Zn 0.0000 0.0000 0.0000
Zn 0.0000 0.0000 4.1588
Fe 0.0000 0.0000 19.0041
Ir 0.0000 0.0000 14.7752
! ΔE_f ... -0.028 eV per atom
! Space-group type ... R3m, No. 160
! Total DFT energy (no corrections) ... -5.00 eV per atom
! Total magnetic moment ... 2.35 μB per formula unit
! Density of states at the Fermi level ... 0.7896 states/eV/atom

***

# 4
! Ca2Tc2BC2 (PBE, optimized geometry); values from VASP
&SYSTEM
  ibrav = 0, nat = 7, ntyp = 4
/
ATOMIC_SPECIES
Ca 40.08 Ca.upf
Tc 98.00 Tc.upf
B 10.81 B.upf
C 12.01 C.upf
CELL_PARAMETERS angstrom
5.5120 -1.9286 0.0000
5.5120 1.9286 0.0000
-3.9739 0.0000 5.4111
ATOMIC_POSITIONS angstrom
Ca -0.4328 0.0000 1.7621
Ca 7.4829 0.0000 3.6490
Tc -0.3981 0.0000 4.9064
Tc 7.4482 0.0000 0.5047
B 5.5120 0.0000 0.0000
C 2.2336 0.0000 1.0826
C 4.8165 0.0000 4.3285
! ΔE_f ... 0.004 eV per atom
! Space-group type ... C2/m, No. 12
! Total DFT energy (no corrections) ... -7.12 eV per atom
! Total magnetic moment ... 0.00 μB per formula unit
! Density of states at the Fermi level ... 0.2636 states/eV/atom